Entry 1:
Computed, not measured: a geometry-optimized SrIn2BiPd structure at the PBE level of DFT. Values from VASP.

Quantum ESPRESSO input file:
```
&SYSTEM
  ibrav = 0, nat = 5, ntyp = 4
/
ATOMIC_SPECIES
Sr 87.62 Sr.upf
In 114.82 In.upf
Bi 208.98 Bi.upf
Pd 106.42 Pd.upf
CELL_PARAMETERS angstrom
5.1741 0.0000 0.0000
0.0000 5.1741 0.0000
0.0000 0.0000 5.8097
ATOMIC_POSITIONS crystal
Sr 0.0000 0.0000 0.0000
In 0.0000 0.5000 0.5000
In 0.5000 0.0000 0.5000
Bi 0.5000 0.5000 0.0000
Pd 0.0000 0.0000 0.5000
```

Values from the calculation:
The energy above the most stable polymorph in this dataset is 0 meV/atom. Its crystal system is tetragonal. Its space group is P4/mmm.

***

Entry 2:
Computed, not measured: a geometry-optimized Er2SnPd5 structure at the PBE level of DFT. Values from VASP.

Quantum ESPRESSO input file:
```
&SYSTEM
  ibrav = 0, nat = 16, ntyp = 3
/
ATOMIC_SPECIES
Er 167.26 Er.upf
Sn 118.71 Sn.upf
Pd 106.42 Pd.upf
CELL_PARAMETERS angstrom
1.6064 -7.9601 0.0000
1.6064 7.9601 0.0000
0.0000 0.0000 13.8455
ATOMIC_POSITIONS crystal
Er 0.1274 0.8726 0.5898
Er 0.1274 0.8726 0.9102
Er 0.8726 0.1274 0.0898
Er 0.8726 0.1274 0.4102
Sn 0.1244 0.8756 0.2500
Sn 0.8756 0.1244 0.7500
Pd 0.0449 0.9551 0.0853
Pd 0.0449 0.9551 0.4147
Pd 0.2299 0.7701 0.0838
Pd 0.2299 0.7701 0.4162
Pd 0.2342 0.7658 0.7500
Pd 0.7658 0.2342 0.2500
Pd 0.7701 0.2299 0.5838
Pd 0.7701 0.2299 0.9162
Pd 0.9551 0.0449 0.5853
Pd 0.9551 0.0449 0.9147
```

Values from the calculation:
Its crystal system is orthorhombic. Its space group is Cmcm.

***

no.,energy of formation (eV/atom)
1,-0.38
2,-0.36